VASP calculation (PBE) on crystalline NaTe2IN at its relaxed geometry.

The structure in extended XYZ format:
```
5
Lattice="-3.049 2.944 3.956 -4.844 -0.918 -3.051 -0.710 -3.777 2.263" Properties=species:S:1:pos:R:3 pbc="T T T"
I -4.302 -0.876 1.584
Na 0.000 0.000 0.000
Te -2.422 -0.459 -1.525
Te -1.525 1.472 1.978
N -0.355 -1.889 1.132
```

Calculated values
Formation energy without anion corrections, eV/f.u.: 5.874
Total DFT energy (no corrections), eV per atom: -2.32
Distance to the lowest polymorph of the same formula, eV per formula unit: 3.85
Crystal system: tetragonal